A geometry-optimized TbHf2Zn6 structure, computed with PBE.

Output
Size of the total moment = 0.0000 μB per atom
SG = P6/mmm, No. 191
Energy = -3.824 eV per atom

a b c (Å): 7.6313 7.6313 3.1873
angles (deg): 90.00 90.00 120.00
Fractional coordinates of all 9 atoms:
Tb  0.0000  0.0000  0.0000
Hf  0.3333  0.6667  0.0000
Hf  0.6667  0.3333  0.0000
Zn  0.0000  0.3392  0.5000
Zn  0.0000  0.6608  0.5000
Zn  0.3392  0.0000  0.5000
Zn  0.3392  0.3392  0.5000
Zn  0.6608  0.0000  0.5000
Zn  0.6608  0.6608  0.5000

***

A geometry-optimized Ac2MgNi3Sb4 structure, computed with PBE.

Output
Size of the total moment = 0.0000 μB per atom
Raw formation energy = -0.634 eV per atom
SG = P-4m2, No. 115
Energy = -4.999 eV per atom

a b c (Å): 4.6142 4.6142 10.7355
angles (deg): 90.00 90.00 90.00
Fractional coordinates of all 10 atoms:
Ac  0.0000  0.5000  0.2422
Ac  0.5000  0.0000  0.7578
Mg  0.0000  0.0000  0.5000
Ni  0.0000  0.5000  0.8872
Ni  0.5000  0.0000  0.1128
Ni  0.5000  0.5000  0.5000
Sb  0.0000  0.0000  0.0000
Sb  0.0000  0.5000  0.6448
Sb  0.5000  0.0000  0.3552
Sb  0.5000  0.5000  0.0000

***

A geometry-optimized LaHfAg3 structure, computed with PBE.

Output
Size of the total moment = 0.0002 μB per atom
Relative energy among the computed polymorphs = 790 meV per atom
SG = Pm-3m, No. 221
Energy = -3.388 eV per atom

a b c (Å): 5.3053 5.3053 5.3053
angles (deg): 90.00 90.00 90.00
Fractional coordinates of all 5 atoms:
La  0.0000  0.0000  0.0000
Hf  0.5000  0.5000  0.5000
Ag  0.0000  0.0000  0.5000
Ag  0.0000  0.5000  0.0000
Ag  0.5000  0.0000  0.0000

***

A geometry-optimized Cr2PtW structure, computed with PBE.

Output
Size of the total moment = 0.0004 μB per atom
Relative energy among the computed polymorphs = 118 meV per atom
SG = Cm, No. 8
Energy = -9.451 eV per atom

a b c (Å): 4.6860 4.6860 4.7180
angles (deg): 98.37 98.37 32.98
Fractional coordinates of all 4 atoms:
Cr  0.0000  0.0000  0.0000
Cr  0.2503  0.2503  0.7655
Pt  0.5073  0.5073  0.5218
W  0.7561  0.7561  0.2563

***

A geometry-optimized ZrNpRh2 structure, computed with PBE.

Output
Size of the total moment = 0.9607 μB per atom
SG = P4/mmm, No. 123
Energy = -9.502 eV per atom

a b c (Å): 3.2997 3.2997 6.9586
angles (deg): 90.00 90.00 90.00
Fractional coordinates of all 4 atoms:
Zr  0.0000  0.0000  0.0000
Np  0.0000  0.0000  0.5000
Rh  0.5000  0.5000  0.2277
Rh  0.5000  0.5000  0.7723

***

A geometry-optimized InCu2AgS4 structure, computed with PBE.

Output
Size of the total moment = 0.0000 μB per atom
Raw formation energy = -0.269 eV per atom
SG = I-42m, No. 121
Energy = -4.056 eV per atom

a b c (Å): 6.7495 6.7495 6.7495
angles (deg): 131.51 131.51 71.01
Fractional coordinates of all 8 atoms:
In  0.0000  0.0000  0.0000
Cu  0.2500  0.7500  0.5000
Cu  0.7500  0.2500  0.5000
Ag  0.5000  0.5000  0.0000
S  0.1090  0.6078  0.0000
S  0.3922  0.3922  0.5012
S  0.6078  0.1090  0.0000
S  0.8910  0.8910  0.4988

***

A geometry-optimized TmBi4 structure, computed with PBE.

Output
Size of the total moment = 0.0000 μB per atom
SG = Pm-3m, No. 221
Energy = -3.606 eV per atom

a b c (Å): 5.8137 5.8137 5.8137
angles (deg): 90.00 90.00 90.00
Fractional coordinates of all 5 atoms:
Tm  0.0000  0.0000  0.0000
Bi  0.0000  0.0000  0.5000
Bi  0.0000  0.5000  0.0000
Bi  0.5000  0.0000  0.0000
Bi  0.5000  0.5000  0.5000

***

A geometry-optimized Hg14BiI structure, computed with PBE.

Output
Size of the total moment = 0.0000 μB per atom
Raw formation energy = 0.025 eV per atom
SG = Amm2, No. 38
Energy = -0.579 eV per atom

a b c (Å): 11.5510 6.8342 6.8342
angles (deg): 60.82 90.00 90.00
Fractional coordinates of all 16 atoms:
Hg  0.0000  0.0000  0.0000
Hg  0.0000  0.4787  0.4787
Hg  0.0000  0.4937  0.9799
Hg  0.0000  0.9799  0.4937
Hg  0.2384  0.1542  0.6801
Hg  0.2384  0.6801  0.1542
Hg  0.2407  0.6553  0.6553
Hg  0.2482  0.1817  0.1817
Hg  0.5000  0.4019  0.9728
Hg  0.5000  0.9728  0.4019
Hg  0.7518  0.1817  0.1817
Hg  0.7593  0.6553  0.6553
Hg  0.7616  0.1542  0.6801
Hg  0.7616  0.6801  0.1542
Bi  0.5000  0.8800  0.8800
I  0.5000  0.4690  0.4690